# 1
Crystalline Ca5InAs8 at its relaxed geometry. Source: the Alexandria database, functional PBE-GGA.

CIF file:
```
data_Ca5InAs8
_cell_length_a 9.8896
_cell_length_b 9.8896
_cell_length_c 7.5301
_cell_angle_alpha 90.00
_cell_angle_beta 90.00
_cell_angle_gamma 90.00
_symmetry_space_group_name_H-M 'I -4'
_symmetry_Int_Tables_number 82
_symmetry_space_group_name_Hall 'I -4'
loop_
_atom_site_label
_atom_site_type_symbol
_atom_site_fract_x
_atom_site_fract_y
_atom_site_fract_z
Ca1 Ca 0.0000 0.0000 0.0000
Ca2 Ca 0.1896 0.7558 0.6776
In1 In 0.0000 0.5000 0.2500
As1 As 0.0120 0.7138 0.0460
As2 As 0.0558 0.8669 0.3359
```

Magnetization: 0.00 μB/cell
Energy of formation from the pure elements: -0.6609 eV per atom
VASP energy: -4.23 eV/atom

# 2
Crystalline Ca5In2As5 at its relaxed geometry. Source: the Alexandria database, functional PBE-GGA.

CIF file:
```
data_Ca5In2As5
_cell_length_a 9.7727
_cell_length_b 9.7727
_cell_length_c 7.0588
_cell_angle_alpha 90.00
_cell_angle_beta 90.00
_cell_angle_gamma 90.00
_symmetry_space_group_name_H-M 'I 4 m m'
_symmetry_Int_Tables_number 107
_symmetry_space_group_name_Hall 'I 4 -2'
loop_
_atom_site_label
_atom_site_type_symbol
_atom_site_fract_x
_atom_site_fract_y
_atom_site_fract_z
Ca1 Ca 0.0000 0.0000 0.0000
Ca2 Ca 0.2003 0.2003 0.5603
In1 In 0.0000 0.5000 0.1265
As1 As 0.0000 0.0000 0.4155
As2 As 0.0000 0.2879 0.8746
```

Magnetization: 0.00 μB/cell
Energy of formation from the pure elements: -0.8310 eV per atom
VASP energy: -4.06 eV/atom

# 3
Crystalline CaInAs at its relaxed geometry. Source: the Alexandria database, functional PBE-GGA.

CIF file:
```
data_CaInAs
_cell_length_a 4.2144
_cell_length_b 4.2144
_cell_length_c 5.4771
_cell_angle_alpha 90.00
_cell_angle_beta 90.00
_cell_angle_gamma 120.00
_symmetry_space_group_name_H-M 'P 3 m 1'
_symmetry_Int_Tables_number 156
_symmetry_space_group_name_Hall 'P 3 -2"'
loop_
_atom_site_label
_atom_site_type_symbol
_atom_site_fract_x
_atom_site_fract_y
_atom_site_fract_z
Ca1 Ca 0.0000 0.0000 0.0000
In1 In 0.6667 0.3333 0.4472
As1 As 0.3333 0.6667 0.7024
```

Magnetization: 0.00 μB/cell
Energy of formation from the pure elements: -0.6524 eV per atom
VASP energy: -3.78 eV/atom

# 4
Crystalline CaInAs at its relaxed geometry. Source: the Alexandria database, functional PBE-GGA.

CIF file:
```
data_CaInAs
_cell_length_a 3.7690
_cell_length_b 3.7690
_cell_length_c 10.6829
_cell_angle_alpha 90.00
_cell_angle_beta 90.00
_cell_angle_gamma 90.00
_symmetry_space_group_name_H-M 'I 4 m m'
_symmetry_Int_Tables_number 107
_symmetry_space_group_name_Hall 'I 4 -2'
loop_
_atom_site_label
_atom_site_type_symbol
_atom_site_fract_x
_atom_site_fract_y
_atom_site_fract_z
Ca1 Ca 0.0000 0.0000 0.0000
In1 In 0.0000 0.0000 0.2982
As1 As 0.0000 0.0000 0.6776
```

Magnetization: 0.00 μB/cell
Energy of formation from the pure elements: -0.4581 eV per atom
VASP energy: -3.59 eV/atom

# 5
Crystalline Li2CaInAs2 at its relaxed geometry. Source: the Alexandria database, functional PBE-GGA.

CIF file:
```
data_Li2CaInAs2
_cell_length_a 4.2333
_cell_length_b 8.6045
_cell_length_c 7.0983
_cell_angle_alpha 90.00
_cell_angle_beta 90.00
_cell_angle_gamma 90.00
_symmetry_space_group_name_H-M 'P m c 21'
_symmetry_Int_Tables_number 26
_symmetry_space_group_name_Hall 'P 2c -2'
loop_
_atom_site_label
_atom_site_type_symbol
_atom_site_fract_x
_atom_site_fract_y
_atom_site_fract_z
Li1 Li 0.0000 0.0710 0.0000
Li2 Li 0.5000 0.1727 0.3158
Ca1 Ca 0.5000 0.4212 0.9239
In1 In 0.0000 0.2939 0.5946
As1 As 0.0000 0.3448 0.2110
As2 As 0.5000 0.1161 0.7020
```

Magnetization: 0.00 μB/cell
Energy of formation from the pure elements: -0.6366 eV per atom
VASP energy: -3.61 eV/atom

# 6
Crystalline CaMn2InAs at its relaxed geometry. Source: the Alexandria database, functional PBE-GGA.

CIF file:
```
data_CaMn2InAs
_cell_length_a 4.6316
_cell_length_b 4.6316
_cell_length_c 5.1707
_cell_angle_alpha 90.00
_cell_angle_beta 90.00
_cell_angle_gamma 90.00
_symmetry_space_group_name_H-M 'P 4/m m m'
_symmetry_Int_Tables_number 123
_symmetry_space_group_name_Hall '-P 4 2'
loop_
_atom_site_label
_atom_site_type_symbol
_atom_site_fract_x
_atom_site_fract_y
_atom_site_fract_z
Ca1 Ca 0.0000 0.0000 0.0000
Mn1 Mn 0.0000 0.5000 0.0000
In1 In 0.5000 0.5000 0.5000
As1 As 0.0000 0.0000 0.5000
```

Magnetization: 0.55 μB/cell
Energy of formation from the pure elements: 1.8929 eV per atom
VASP energy: -3.65 eV/atom

# 7
Crystalline Ca3InAs2N at its relaxed geometry. Source: the Alexandria database, functional PBE-GGA.

CIF file:
```
data_Ca3InAs2N
_cell_length_a 4.4727
_cell_length_b 4.6294
_cell_length_c 15.2667
_cell_angle_alpha 90.00
_cell_angle_beta 90.00
_cell_angle_gamma 90.00
_symmetry_space_group_name_H-M 'I m m m'
_symmetry_Int_Tables_number 71
_symmetry_space_group_name_Hall '-I 2 2'
loop_
_atom_site_label
_atom_site_type_symbol
_atom_site_fract_x
_atom_site_fract_y
_atom_site_fract_z
Ca1 Ca 0.0000 0.0000 0.0000
Ca2 Ca 0.0000 0.5000 0.1647
In1 In 0.0000 0.0000 0.5000
As1 As 0.0000 0.5000 0.3623
N1 N 0.0000 0.5000 0.0000
```

Magnetization: 0.00 μB/cell
VASP energy: -4.62 eV/atom
Uncorrected formation energy: -5.95 eV/f.u.

# 8
Crystalline NaCaInAs2 at its relaxed geometry. Source: the Alexandria database, functional PBE-GGA.

CIF file:
```
data_NaCaInAs2
_cell_length_a 16.2289
_cell_length_b 4.3931
_cell_length_c 8.5538
_cell_angle_alpha 90.00
_cell_angle_beta 115.86
_cell_angle_gamma 90.00
_symmetry_space_group_name_H-M 'C 1 2/m 1'
_symmetry_Int_Tables_number 12
_symmetry_space_group_name_Hall '-C 2y'
loop_
_atom_site_label
_atom_site_type_symbol
_atom_site_fract_x
_atom_site_fract_y
_atom_site_fract_z
Na1 Na 0.0804 0.0000 0.4168
Ca1 Ca 0.2291 0.0000 0.1820
In1 In 0.0609 0.5000 0.8872
As1 As 0.1242 0.5000 0.2414
As2 As 0.1314 0.0000 0.7917
```

Magnetization: 0.00 μB/cell
Energy of formation from the pure elements: -0.6614 eV per atom
VASP energy: -3.73 eV/atom